A PBEsol-optimized structure of TaCd3Ni. Source: Alexandria, functional meta-GGA SCAN.

POSCAR file:
```
TaCd3Ni
1.0
-0.328 3.762 2.716
-3.411 1.650 -2.698
-3.146 -2.182 2.643
Ni Cd Ta
1 3 1
direct
0.000 0.000 0.000 Ni
0.000 0.500 0.000 Cd
0.500 0.000 0.000 Cd
0.000 0.000 0.500 Cd
0.500 0.500 0.500 Ta
```

Summary:
ΔE_f = 1039 meV/atom



A PBEsol-optimized structure of Tb2CdNi2. Source: Alexandria, functional meta-GGA SCAN.

POSCAR file:
```
Tb2CdNi2
1.0
-2.575 -1.528 2.048
2.503 -0.357 2.882
-0.603 6.160 3.836
Tb Ni Cd
2 2 1
direct
0.500 0.362 0.275 Tb
0.500 0.638 0.725 Tb
0.000 0.800 0.399 Ni
0.000 0.200 0.601 Ni
0.000 0.000 0.000 Cd
```

Summary:
ΔE_f = -468 meV/atom



A PBEsol-optimized structure of Tb2CdNi2. Source: Alexandria, functional meta-GGA SCAN.

POSCAR file:
```
Tb2CdNi2
1.0
3.619 0.000 0.000
0.000 7.254 0.000
0.000 0.000 7.254
Cd Tb Ni
2 4 4
direct
0.000 0.000 0.000 Cd
0.000 0.500 0.500 Cd
0.500 0.176 0.324 Tb
0.500 0.324 0.824 Tb
0.500 0.824 0.676 Tb
0.500 0.676 0.176 Tb
0.000 0.381 0.119 Ni
0.000 0.881 0.381 Ni
0.000 0.619 0.881 Ni
0.000 0.119 0.619 Ni
```

Summary:
ΔE_f = -442 meV/atom



A PBEsol-optimized structure of TbCdNi4. Source: Alexandria, functional meta-GGA SCAN.

POSCAR file:
```
TbCdNi4
1.0
-2.475 -1.425 3.974
-3.758 -3.105 -0.440
0.420 -4.596 1.627
Ni Tb Cd
4 1 1
direct
0.374 0.374 0.374 Ni
0.374 0.374 0.878 Ni
0.878 0.374 0.374 Ni
0.374 0.878 0.374 Ni
0.750 0.750 0.750 Tb
0.000 0.000 0.000 Cd
```

Summary:
ΔE_f = -333 meV/atom



A PBEsol-optimized structure of CdTc2Ni. Source: Alexandria, functional meta-GGA SCAN.

POSCAR file:
```
CdTc2Ni
1.0
-0.625 0.854 -2.552
0.582 -2.515 -0.985
-7.130 -2.065 1.055
Ni Tc Cd
1 2 1
direct
0.500 0.500 0.768 Ni
0.500 0.500 0.221 Tc
0.000 0.000 0.995 Tc
0.000 0.000 0.515 Cd
```

Summary:
ΔE_f = 190 meV/atom



A PBEsol-optimized structure of CdTc3Ni. Source: Alexandria, functional meta-GGA SCAN.

POSCAR file:
```
CdTc3Ni
1.0
4.388 0.000 0.000
0.000 4.388 0.000
0.000 0.000 4.388
Tc Ni Cd
3 1 1
direct
0.000 0.000 0.500 Tc
0.500 0.000 0.000 Tc
0.000 0.500 0.000 Tc
0.000 0.000 0.000 Ni
0.500 0.500 0.500 Cd
```

Summary:
ΔE_f = 1428 meV/atom



A PBEsol-optimized structure of CdNiTe4. Source: Alexandria, functional meta-GGA SCAN.

POSCAR file:
```
CdNiTe4
1.0
6.170 0.000 0.000
3.085 5.344 0.000
3.085 1.781 5.038
Te Cd Ni
4 1 1
direct
0.876 0.375 0.375 Te
0.375 0.876 0.375 Te
0.375 0.375 0.375 Te
0.375 0.375 0.876 Te
0.750 0.750 0.750 Cd
0.000 0.000 0.000 Ni
```

Summary:
E_form (uncorrected) = 814 meV per atom



A PBEsol-optimized structure of CdNiTe2. Source: Alexandria, functional meta-GGA SCAN.

POSCAR file:
```
CdNiTe2
1.0
3.731 0.000 0.000
0.000 4.854 0.063
0.000 -1.060 4.737
Te Cd Ni
2 1 1
direct
0.000 0.500 0.000 Te
0.000 0.000 0.500 Te
0.500 0.000 0.000 Cd
0.500 0.500 0.500 Ni
```

Summary:
E_form (uncorrected) = 421 meV per atom



A PBEsol-optimized structure of CdNiTe. Source: Alexandria, functional meta-GGA SCAN.

POSCAR file:
```
CdNiTe
1.0
3.120 0.000 0.000
0.000 3.120 0.000
-1.560 -1.560 6.087
Ni Cd Te
1 1 1
direct
0.674 0.674 0.348 Ni
0.033 0.033 0.066 Cd
0.293 0.293 0.586 Te
```

Summary:
E_form (uncorrected) = 148 meV per atom



A PBEsol-optimized structure of CdNiTe2. Source: Alexandria, functional meta-GGA SCAN.

POSCAR file:
```
CdNiTe2
1.0
-0.447 2.302 2.784
0.326 -3.458 2.911
5.804 1.356 -2.568
Ni Te Cd
1 2 1
direct
0.000 0.500 0.000 Ni
0.347 0.347 0.694 Te
0.653 0.653 0.306 Te
0.500 0.000 0.000 Cd
```

Summary:
E_form (uncorrected) = -132 meV per atom



A PBEsol-optimized structure of Tl2CdNi. Source: Alexandria, functional meta-GGA SCAN.

POSCAR file:
```
Tl2CdNi
1.0
3.158 0.033 0.000
-0.034 3.158 0.000
0.000 0.000 8.444
Ni Cd Tl
1 1 2
direct
0.500 0.500 0.261 Ni
0.000 0.000 0.439 Cd
0.500 0.500 0.735 Tl
0.000 0.000 0.064 Tl
```

Summary:
Polymorph energy (0 for the lowest one) = 34.2 meV/atom
ΔE_f = 204 meV/atom



A PBEsol-optimized structure of Tl2CdNi. Source: Alexandria, functional meta-GGA SCAN.

POSCAR file:
```
Tl2CdNi
1.0
-0.312 -1.259 -2.688
-0.607 -3.942 1.917
-6.097 3.725 0.621
Tl Cd Ni
2 1 1
direct
0.826 0.826 0.652 Tl
0.174 0.174 0.348 Tl
0.000 0.500 0.000 Cd
0.500 0.000 0.000 Ni
```

Summary:
Polymorph energy (0 for the lowest one) = 0.0 meV/atom
ΔE_f = 170 meV/atom



A PBEsol-optimized structure of Tm4CdNi. Source: Alexandria, functional meta-GGA SCAN.

POSCAR file:
```
Tm4CdNi
1.0
9.240 0.000 0.000
4.620 8.002 0.000
4.620 2.667 7.544
Cd Tm Ni
4 16 4
direct
0.743 0.419 0.419 Cd
0.419 0.743 0.419 Cd
0.419 0.419 0.419 Cd
0.419 0.419 0.743 Cd
0.651 0.651 0.046 Tm
0.064 0.436 0.436 Tm
0.811 0.189 0.189 Tm
0.189 0.189 0.811 Tm
0.436 0.064 0.064 Tm
0.811 0.811 0.189 Tm
0.651 0.046 0.651 Tm
0.436 0.064 0.436 Tm
0.064 0.436 0.064 Tm
0.651 0.651 0.651 Tm
0.064 0.064 0.436 Tm
0.189 0.811 0.189 Tm
0.189 0.811 0.811 Tm
0.436 0.436 0.064 Tm
0.811 0.189 0.811 Tm
0.046 0.651 0.651 Tm
0.857 0.428 0.857 Ni
0.857 0.857 0.857 Ni
0.857 0.857 0.428 Ni
0.428 0.857 0.857 Ni
```

Summary:
ΔE_f = -379 meV/atom



A PBEsol-optimized structure of CdNiW. Source: Alexandria, functional meta-GGA SCAN.

POSCAR file:
```
CdNiW
1.0
4.192 0.000 0.000
2.096 3.630 0.000
2.096 1.210 3.422
Cd W Ni
1 1 1
direct
0.250 0.250 0.250 Cd
0.500 0.500 0.500 W
0.000 0.000 0.000 Ni
```

Summary:
ΔE_f = 1629 meV/atom



A PBEsol-optimized structure of CdNiW3. Source: Alexandria, functional meta-GGA SCAN.

POSCAR file:
```
CdNiW3
1.0
4.459 0.000 0.000
0.000 4.459 0.000
0.000 0.000 4.459
W Cd Ni
3 1 1
direct
0.000 0.000 0.500 W
0.000 0.500 0.000 W
0.500 0.000 0.000 W
0.500 0.500 0.500 Cd
0.000 0.000 0.000 Ni
```

Summary:
ΔE_f = 1621 meV/atom



A PBEsol-optimized structure of Cd2NiW. Source: Alexandria, functional meta-GGA SCAN.

POSCAR file:
```
Cd2NiW
1.0
-0.177 -1.757 2.128
2.011 -3.365 -2.612
3.476 3.989 1.786
Ni Cd W
1 2 1
direct
0.500 0.000 0.000 Ni
0.225 0.225 0.451 Cd
0.775 0.775 0.549 Cd
0.000 0.500 0.000 W
```

Summary:
Polymorph energy (0 for the lowest one) = 216.2 meV/atom
ΔE_f = 549 meV/atom



A PBEsol-optimized structure of Cd2NiW. Source: Alexandria, functional meta-GGA SCAN.

POSCAR file:
```
Cd2NiW
1.0
2.824 0.000 0.000
1.412 2.446 0.000
1.412 0.815 9.465
Cd Ni W
2 1 1
direct
0.760 0.760 0.720 Cd
0.996 0.996 0.012 Cd
0.505 0.505 0.486 Ni
0.240 0.240 0.281 W
```

Summary:
Polymorph energy (0 for the lowest one) = 0.0 meV/atom
ΔE_f = 333 meV/atom



A PBEsol-optimized structure of YCdNi2. Source: Alexandria, functional meta-GGA SCAN.

POSCAR file:
```
YCdNi2
1.0
3.829 0.000 0.000
0.000 3.829 0.000
-1.914 -1.914 4.431
Y Ni Cd
1 2 1
direct
0.500 0.500 0.000 Y
0.750 0.250 0.500 Ni
0.000 0.000 0.000 Ni
0.250 0.750 0.500 Cd
```

Summary:
ΔE_f = -114 meV/atom



A PBEsol-optimized structure of Y2CdNi2. Source: Alexandria, functional meta-GGA SCAN.

POSCAR file:
```
Y2CdNi2
1.0
5.179 0.000 0.000
-2.590 4.584 -0.004
0.000 -2.922 4.276
Ni Cd Y
2 1 2
direct
0.648 0.296 0.648 Ni
0.352 0.704 0.352 Ni
0.000 0.000 0.000 Cd
0.250 0.500 0.750 Y
0.750 0.500 0.250 Y
```

Summary:
ΔE_f = -266 meV/atom



A PBEsol-optimized structure of ZnCdNi6. Source: Alexandria, functional meta-GGA SCAN.

POSCAR file:
```
ZnCdNi6
1.0
6.228 0.000 0.000
-2.109 5.860 0.000
0.000 0.000 10.202
Ni Zn Cd
24 4 4
direct
0.118 0.364 0.870 Ni
0.636 0.882 0.130 Ni
0.370 0.116 0.380 Ni
0.884 0.630 0.380 Ni
0.370 0.116 0.620 Ni
0.636 0.882 0.870 Ni
0.500 0.500 0.000 Ni
0.116 0.370 0.620 Ni
0.116 0.370 0.380 Ni
0.630 0.884 0.620 Ni
0.882 0.636 0.870 Ni
0.246 0.754 0.742 Ni
0.364 0.118 0.130 Ni
0.246 0.754 0.258 Ni
0.882 0.636 0.130 Ni
0.118 0.364 0.130 Ni
0.500 0.500 0.500 Ni
0.000 0.000 0.000 Ni
0.000 0.000 0.500 Ni
0.754 0.246 0.742 Ni
0.754 0.246 0.258 Ni
0.884 0.630 0.620 Ni
0.364 0.118 0.870 Ni
0.630 0.884 0.380 Ni
0.255 0.745 0.500 Zn
0.000 0.000 0.254 Zn
0.000 0.000 0.746 Zn
0.745 0.255 0.500 Zn
0.745 0.255 0.000 Cd
0.255 0.745 0.000 Cd
0.500 0.500 0.253 Cd
0.500 0.500 0.747 Cd
```

Summary:
ΔE_f = 58 meV/atom